The following is a DFT calculation (PBE) of crystalline Dy2InPd5 at its relaxed geometry.

abc: 6.4026 6.4026 5.8194
angles: 123.37 123.37 90.00
With the nearest neighbours (Å) after each atom.
Sites, in units of the cell vectors:
Dy 0.2342 0.7342 0.4685  10 Pd 2.88-3.20
Dy 0.7342 0.2342 0.4685  10 Pd 2.88-3.20
In 0.1528 0.1528 0.3056  9 Pd 2.83-3.10
Pd 0.6980 0.2523 0.9504  2 In 2.83-3.10, 4 Pd 2.85-2.98, 4 Dy 2.88-2.96
Pd 0.2523 0.2523 0.9503  2 In 2.83-3.10, 4 Pd 2.85-2.98, 4 Dy 2.88-2.96
Pd 0.6980 0.6980 0.9504  2 In 2.83-3.10, 4 Pd 2.85-2.98, 4 Dy 2.88-2.96
Pd 0.2523 0.6980 0.9504  2 In 2.83-3.10, 4 Pd 2.85-2.98, 4 Dy 2.88-2.96
Pd 0.7550 0.7550 0.5100  8 Pd 2.87-2.98, 1 In 2.91, 4 Dy 3.20

Values from the calculation:
magnetic moment = 0.00 μB per formula unit
D(E_F) = 2.7 states/eV/cell
volume = 150 Å³ per cell
space-group type = No. 107
total energy = -44.1 eV/cell
energy of formation = -17.821 kcal/mol of atoms


The following is a DFT calculation (PBE) of crystalline PbCl6F2 at its relaxed geometry.

abc: 3.6908 16.9553 8.6480
angles: 89.63 44.52 59.76
With the nearest neighbours (Å) after each atom.
Sites, in units of the cell vectors:
Pb 0.0000 0.0000 0.0000  4 F 2.28, 2 Cl 2.41
Cl 0.2575 0.4106 0.0433  1 Cl 2.00
Cl 0.7425 0.5894 0.9567  1 Cl 2.00
Cl 0.9518 0.6715 0.7944  1 Cl 2.00
Cl 0.8613 0.1843 0.4240  1 Pb 2.41
Cl 0.1387 0.8157 0.5760  1 Pb 2.41
Cl 0.0482 0.3285 0.2056  1 Cl 2.00
F 0.3747 0.9542 0.1384  2 Pb 2.28
F 0.6253 0.0458 0.8616  2 Pb 2.28

Values from the calculation:
magnetic moment = 0.00 μB per formula unit
volume = 267 Å³ per cell
uncorrected formation energy = -0.69 eV/atom
space-group type = No. 2
total energy = -24.7 eV/cell